An optimized crystal structure of SrMoAu. Source: the Alexandria database, functional PBE.

```
data_SrMoAu
_chemical_formula_sum 'Sr4 Mo4 Au4'
_cell_length_a 7.2934
_cell_length_b 7.2934
_cell_length_c 7.2934
_cell_angle_alpha 90.00
_cell_angle_beta 90.00
_cell_angle_gamma 90.00
_space_group_name_H-M_alt 'F -4 3 m'
_space_group_IT_number 216
_space_group_name_Hall 'F -4 2 3'
loop_
_atom_site_label
_atom_site_fract_x
_atom_site_fract_y
_atom_site_fract_z
Sr1 0.0000 0.0000 0.0000
Mo1 0.2500 0.2500 0.2500
Au1 0.2500 0.2500 0.7500
```

As for the energy above the most stable polymorph in this dataset: 0.7963 eV/atom. As for the formation energy from the elements: 1.2870 eV/atom.